(1)
Rb3PaBe2O6 PBE optimized geometry; M_tot = 0.00 μB per cell; space group = P-3m1 (164); raw total energy = -6.641 eV per atom
1.0
5.788 0.000 0.000
-2.894 5.012 0.000
0.000 0.000 7.305
Rb Pa Be O
3 1 2 6
direct
0.000 0.000 0.000 Rb
0.333 0.667 0.748 Rb
0.667 0.333 0.252 Rb
0.000 0.000 0.500 Pa
0.333 0.667 0.319 Be
0.667 0.333 0.681 Be
0.177 0.355 0.321 O
0.177 0.823 0.321 O
0.355 0.177 0.679 O
0.645 0.823 0.321 O
0.823 0.177 0.679 O
0.823 0.645 0.679 O

=====

(2)
RbPa3Be4O12 PBE optimized geometry; M_tot = 0.00 μB per cell; space group = R32 (155); raw total energy = -8.218 eV per atom
1.0
5.299 3.059 2.991
-5.299 3.059 2.991
0.000 -6.118 2.991
Rb Pa Be O
1 3 4 12
direct
0.000 0.000 0.000 Rb
0.000 0.548 0.452 Pa
0.452 0.000 0.548 Pa
0.548 0.452 0.000 Pa
0.051 0.500 0.949 Be
0.500 0.500 0.500 Be
0.500 0.949 0.051 Be
0.949 0.051 0.500 Be
0.008 0.594 0.763 O
0.098 0.902 0.500 O
0.237 0.406 0.992 O
0.352 0.648 0.500 O
0.406 0.992 0.237 O
0.500 0.098 0.902 O
0.500 0.352 0.648 O
0.594 0.763 0.008 O
0.648 0.500 0.352 O
0.763 0.008 0.594 O
0.902 0.500 0.098 O
0.992 0.237 0.406 O

=====

(3)
PaBe2ReO8 PBE optimized geometry; M_tot = 0.00 μB per cell; space group = P-3m1 (164); raw total energy = -7.857 eV per atom
1.0
4.983 0.000 0.000
-2.491 4.315 0.000
0.000 0.000 6.309
Pa Be Re O
1 2 1 8
direct
0.000 0.000 0.000 Pa
0.333 0.667 0.205 Be
0.667 0.333 0.795 Be
0.000 0.000 0.500 Re
0.165 0.329 0.307 O
0.165 0.835 0.307 O
0.329 0.165 0.693 O
0.333 0.667 0.961 O
0.667 0.333 0.039 O
0.671 0.835 0.307 O
0.835 0.165 0.693 O
0.835 0.671 0.693 O

=====

(4)
PaBeRhO6 PBE optimized geometry; M_tot = 2.04 μB per cell; space group = P312 (149); raw total energy = -7.605 eV per atom
1.0
4.952 0.000 0.000
-2.476 4.289 0.000
0.000 0.000 4.778
Pa Be Rh O
1 1 1 6
direct
0.000 0.000 0.000 Pa
0.333 0.667 0.500 Be
0.667 0.333 0.500 Rh
0.017 0.361 0.280 O
0.017 0.656 0.720 O
0.344 0.361 0.720 O
0.344 0.983 0.280 O
0.639 0.656 0.280 O
0.639 0.983 0.720 O

=====

These records have ΔE_f (raw) values of -2.51 -3.03 -2.10 -2.01 eV per atom, in the order they appear.